## BaP2Rh (GGA-PBE)

Data for an optimized crystal structure of BaP2Rh.

```
BaP2Rh
1.0
4.518 0.000 0.000
0.000 3.915 0.000
-0.903 0.000 5.376
Ba P Rh
1 2 1
Direct
0.000 0.000 0.000
0.379 0.500 0.617
0.575 0.000 0.419
0.865 0.500 0.488
```

Formation energy   -562 meV per atom
SG   No. 6
Calculated volume   95 Å³/f.u.
Total magnetic moment   0.000 μB/f.u.